Record 1
The following is a PBE-GGA calculation of a geometry-optimized ZrTePtN2 structure, from Alexandria.

a = 4.068 Å, b = 4.068 Å, c = 5.382 Å
α = 90.00°, β = 90.00°, γ = 90.00°
Fractional coordinates of all 5 atoms:
1 Zr 0.000 0.000 0.000
2 Te 0.500 0.500 0.000
3 Pt 0.500 0.500 0.500
4 N 0.000 0.500 0.500
5 N 0.500 0.000 0.500

Calculated values
* space-group type: P4/mmm
* relative energy among the computed polymorphs: 41.1 kJ per mole of atoms
* E_form (uncorrected): 1.08 eV/atom



Record 2
The following is a PBE-GGA calculation of a geometry-optimized AsOsRh2 structure, from Alexandria.

a = 2.812 Å, b = 3.820 Å, c = 5.473 Å
α = 90.00°, β = 90.00°, γ = 90.00°
Fractional coordinates of all 4 atoms:
1 As 0.000 0.000 0.000
2 Os 0.000 0.000 0.500
3 Rh 0.500 0.500 0.260
4 Rh 0.500 0.500 0.740

Calculated values
* space-group type: Pmmm
* E_form: 2.66 kcal/mol of atoms



In order of appearance, size of the total moment = 1.4; 0.0 μB/cell.